Density functional theory data (SCAN) for a PBEsol-optimized structure of CuNi2Rh.

```
data_CuNi2Rh
_chemical_formula_sum 'Cu2 Ni4 Rh2'
_symmetry_space_group_name_H-M 'C 1 2/m 1'
_symmetry_Int_Tables_number 12
_symmetry_space_group_name_Hall '-C 2y'
_cell_length_a 8.3767
_cell_length_b 2.5786
_cell_length_c 4.3516
_cell_angle_alpha 90.00
_cell_angle_beta 100.88
_cell_angle_gamma 90.00
loop_
_atom_site_label
_atom_site_type_symbol
_atom_site_fract_x
_atom_site_fract_y
_atom_site_fract_z
Cu1 Cu 0.0000 0.0000 0.0000
Ni1 Ni 0.2505 0.0000 0.7522
Rh1 Rh 0.0000 0.5000 0.5000
```

Density functional theory data (SCAN) for a PBEsol-optimized structure of Th7Pt3.

```
data_Th7Pt3
_chemical_formula_sum 'Th14 Pt6'
_symmetry_space_group_name_H-M 'P 63 m c'
_symmetry_Int_Tables_number 186
_symmetry_space_group_name_Hall 'P 6c -2c'
_cell_length_a 9.9976
_cell_length_b 9.9976
_cell_length_c 6.2782
_cell_angle_alpha 90.00
_cell_angle_beta 90.00
_cell_angle_gamma 120.00
loop_
_atom_site_label
_atom_site_type_symbol
_atom_site_fract_x
_atom_site_fract_y
_atom_site_fract_z
Th1 Th 0.0843 0.5421 0.0000
Th2 Th 0.1283 0.2566 0.7197
Th3 Th 0.3333 0.6667 0.5582
Pt1 Pt 0.1891 0.3781 0.2806
```

Density functional theory data (SCAN) for a PBEsol-optimized structure of Tl2AgHg2.

```
data_Tl2AgHg2
_chemical_formula_sum 'Tl4 Ag2 Hg4'
_symmetry_space_group_name_H-M 'P 4/m b m'
_symmetry_Int_Tables_number 127
_symmetry_space_group_name_Hall '-P 4 2ab'
_cell_length_a 7.2954
_cell_length_b 7.2954
_cell_length_c 4.6962
_cell_angle_alpha 90.00
_cell_angle_beta 90.00
_cell_angle_gamma 90.00
loop_
_atom_site_label
_atom_site_type_symbol
_atom_site_fract_x
_atom_site_fract_y
_atom_site_fract_z
Tl1 Tl 0.1688 0.3312 0.0000
Ag1 Ag 0.0000 0.0000 0.5000
Hg1 Hg 0.1437 0.6437 0.5000
```

| no. | formation energy from the elements (kJ per mole of atoms) | electronic total energy (eV per atom) |
| --- | --- | --- |
| 1 | 6 | -20.266 |
| 2 | -86 | -89.096 |
| 3 | 8 | -62.397 |